Entry 1:
NaGe2N3: optimized geometry, PBE.

a b c (Å): 3.192 5.900 11.346
angles (deg): 124.46 90.00 90.00
Atoms (fractional coordinates):
Ge 0.250 0.920 0.570
Ge 0.250 0.329 0.884
N 0.750 0.771 0.455
Ge 0.750 0.671 0.116
Na 0.250 0.327 0.253
N 0.250 0.462 0.086
N 0.250 0.970 0.741
N 0.750 0.538 0.914
N 0.750 0.030 0.259
N 0.250 0.229 0.545
Ge 0.750 0.080 0.430
Na 0.750 0.673 0.747

Summary:
Its symmetry is P2_1/m (11). The calculation puts the density at 4.0 g/cm3.

=====

Entry 2:
Na2GeN2: optimized geometry, PBE.

a b c (Å): 4.525 6.605 8.291
angles (deg): 126.47 90.00 110.03
Atoms (fractional coordinates):
Na 0.667 0.334 0.529
N 0.193 0.386 0.639
N 0.807 0.614 0.361
N 0.518 0.035 0.850
Na 0.048 0.096 0.740
Na 0.952 0.904 0.260
Ge 0.633 0.266 0.140
N 0.482 0.965 0.150
Na 0.333 0.666 0.471
Ge 0.367 0.734 0.860

Summary:
Its symmetry is C2/m (12). The calculation puts the density at 2.7 g/cm3.

=====

Entry 3:
NaGe3N: optimized geometry, PBE.

a b c (Å): 4.523 4.523 4.523
angles (deg): 90.00 90.00 90.00
Atoms (fractional coordinates):
Ge 0.500 0.000 0.000
Na 0.500 0.500 0.500
Ge 0.000 0.500 0.000
N 0.000 0.000 0.000
Ge 0.000 0.000 0.500

Summary:
Its symmetry is Pm-3m (221). The calculation puts the density at 4.6 g/cm3.

=====

Number 1: electronic total energy -5.958 eV per atom. Number 2: electronic total energy -4.799 eV per atom. Number 3: electronic total energy -4.099 eV per atom.